Entry 1:
Computed, not measured: crystalline TaAl5 at its relaxed geometry at the PBE level of DFT.

Properties
* V: 195.6 Å³/cell
* relative energy among the computed polymorphs: 0 meV per atom
* formation energy: -16 kJ/mol of atoms
* space-group type: P6_322
* raw total energy: -5.263 eV/atom
* D(E_F): 0.5824 states/eV per atom

Cell: 4.997 4.997 9.043 Å, 90.00 90.00 120.00°
Element x y z (fractional)
Ta 0.333 0.667 0.250
Ta 0.667 0.333 0.750
Al 0.000 0.000 0.750
Al 0.000 0.000 0.250
Al 0.333 0.667 0.750
Al 0.667 0.333 0.250
Al 0.336 0.336 0.000
Al 0.664 0.000 0.000
Al 0.000 0.664 0.000
Al 0.664 0.664 0.500
Al 0.336 0.000 0.500
Al 0.000 0.336 0.500

=====

Entry 2:
Computed, not measured: crystalline Ac2BSbPd6 at its relaxed geometry at the PBE level of DFT.

Properties
* V: 206.0 Å³/cell
* space-group type: C2/m
* raw total energy: -5.763 eV/atom
* D(E_F): 0.4180 states/eV per atom

Cell: 5.995 7.468 5.997 Å, 66.31 60.01 90.00°
Element x y z (fractional)
Ac 0.733 0.197 0.535
Ac 0.267 0.803 0.465
B 0.500 0.500 0.000
Sb 0.000 0.000 0.000
Pd 0.272 0.322 0.456
Pd 0.727 0.677 0.051
Pd 0.221 0.677 0.052
Pd 0.779 0.323 0.948
Pd 0.273 0.323 0.949
Pd 0.728 0.678 0.544

=====

Entry 3:
Computed, not measured: crystalline Cs2AgBr6Cl at its relaxed geometry at the PBE level of DFT.

Properties
* V: 359.2 Å³/cell
* space-group type: I4/mmm
* raw total energy: -2.401 eV/atom
* D(E_F): 0.0079 states/eV per atom

Cell: 7.702 7.702 8.143 Å, 61.78 61.78 90.00°
Element x y z (fractional)
Cs 0.750 0.250 0.500
Cs 0.250 0.750 0.500
Br 0.210 0.210 0.581
Br 0.790 0.790 0.419
Br 0.259 0.259 0.000
Br 0.741 0.741 0.000
Br 0.741 0.259 0.000
Br 0.259 0.741 0.000
Ag 0.000 0.000 0.000
Cl 0.500 0.500 0.000

=====

Entry 4:
Computed, not measured: crystalline TlAs2Cl at its relaxed geometry at the PBE level of DFT.

Properties
* V: 89.3 Å³/cell
* relative energy among the computed polymorphs: 713 meV per atom
* space-group type: Cmmm
* raw total energy: -3.030 eV/atom
* D(E_F): 0.4132 states/eV per atom

Cell: 3.229 3.229 9.819 Å, 90.00 90.00 119.20°
Element x y z (fractional)
Tl 0.500 0.500 0.750
As 0.000 0.000 0.023
As 0.000 0.000 0.477
Cl 0.500 0.500 0.250